Here is a geometry-optimized Mg6SnAu structure from Alexandria via LeMat-Bulk. Energies are from PBE.

Values from the calculation:
The value obtained for the density of states at the Fermi level is 0.30 states/eV per atom. The formation enthalpy at 0 K is -0.2321 eV/atom.

Cell lengths 4.407, 4.407, 8.672 Å; angles 90.00, 90.00, 90.00 degrees
Element x y z (fractional)
Mg1 0.500 0.500 0.000
Mg2 0.500 0.500 0.500
Mg3 0.500 0.000 0.266
Mg4 0.500 0.000 0.734
Mg5 0.000 0.500 0.266
Mg6 0.000 0.500 0.734
Sn1 0.000 0.000 0.000
Au1 0.000 0.000 0.500

---

Here is a geometry-optimized K3LiHg2F9 structure from Alexandria via LeMat-Bulk. Energies are from PBE.

Values from the calculation:
The formation energy from raw total energies comes out at -2.11 eV/atom. The value obtained for the density of states at the Fermi level is 0.43 states/eV per atom.

Cell lengths 6.135, 6.135, 7.645 Å; angles 90.00, 90.00, 120.00 degrees
Last column: magnetic moment on the atom in μB.
Element x y z (fractional)
K1 0.333 0.667 0.645  0.00
K2 0.000 0.000 0.000  0.00
K3 0.667 0.333 0.355  0.00
Li1 0.000 0.000 0.500  0.00
Hg1 0.333 0.667 0.184  0.09
Hg2 0.667 0.333 0.816  0.09
F1 0.842 0.158 0.658  0.04
F2 0.842 0.683 0.658  0.04
F3 0.317 0.158 0.658  0.04
F4 0.683 0.842 0.342  0.04
F5 0.158 0.317 0.342  0.04
F6 0.158 0.842 0.342  0.04
F7 0.500 0.000 0.000  0.06
F8 0.000 0.500 0.000  0.06
F9 0.500 0.500 0.000  0.06